Arrangement i

6
Lattice="5.323 -0.257 -0.042 0.256 5.322 -0.042 0.070 0.064 8.450" Properties=species:S:1:pos:R:3 comment="BaNdTl PBE optimized geometry" dos_ef_per_ev_atom=0.67 pbc="T T T"
Ba 1.782 1.888 2.355
Ba 4.593 4.439 4.637
Tl 4.562 4.412 1.150
Tl 1.813 1.915 5.843
Nd 4.490 1.801 7.722
Nd 1.956 4.590 7.721



Arrangement ii

3
Lattice="-2.704 3.112 0.137 -4.209 -3.616 -0.915 1.610 1.168 5.260" Properties=species:S:1:pos:R:3 comment="BaNdTl PBE optimized geometry" dos_ef_per_ev_atom=1.10 pbc="T T T"
Tl -0.281 0.324 0.014
Ba -2.134 1.650 3.293
Nd -2.888 -1.310 1.175



List of relative energies, unit meV/atom: arrangement i 0; arrangement ii 164



Arrangement i

4
Lattice="-2.299 -1.358 -2.734 3.047 -0.820 -2.155 0.484 -9.376 4.252" Properties=species:S:1:pos:R:3 comment="BaNd2Tl PBE optimized geometry" dos_ef_per_ev_atom=1.35 pbc="T T T"
Ba 0.616 -5.777 -0.319
Nd 0.389 -7.533 3.416
Nd 0.095 -1.842 0.835
Tl 0.374 -1.089 -2.444



Arrangement ii

4
Lattice="-1.056 4.665 2.480 -1.072 0.061 5.280 5.571 2.324 3.853" Properties=species:S:1:pos:R:3 comment="BaNd2Tl PBE optimized geometry" dos_ef_per_ev_atom=1.57 pbc="T T T"
Tl 3.811 5.434 8.958
Nd 4.728 2.224 3.683
Nd 0.320 1.698 2.794
Ba 1.877 3.544 5.838



Arrangement iii

4
Lattice="-2.282 -1.624 4.293 3.159 -4.134 0.116 3.425 2.698 2.841" Properties=species:S:1:pos:R:3 comment="BaNd2Tl PBE optimized geometry" dos_ef_per_ev_atom=1.02 pbc="T T T"
Tl -1.141 -0.812 2.147
Nd 1.580 -2.067 0.058
Nd 1.713 1.349 1.421
Ba 2.151 -1.530 3.625



List of relative energies, unit meV/atom: arrangement i 0; arrangement ii 95; arrangement iii 19



Arrangement i

4
Lattice="-1.989 -1.331 2.779 0.328 -3.522 0.968 8.986 1.567 9.604" Properties=species:S:1:pos:R:3 comment="BaNd2Tm PBE optimized geometry" dos_ef_per_ev_atom=1.44 pbc="T T T"
Tm 3.662 -1.643 6.675
Nd 6.290 0.667 7.242
Nd 1.035 -3.952 6.108
Ba 0.000 0.000 0.000



Arrangement ii

4
Lattice="-0.862 1.520 -3.337 0.493 -3.348 -1.652 -10.422 -2.337 1.628" Properties=species:S:1:pos:R:3 comment="BaNd2Tm PBE optimized geometry" dos_ef_per_ev_atom=1.36 pbc="T T T"
Tm -0.185 -0.914 -2.494
Ba -5.396 -2.083 -1.680
Nd -2.244 -0.503 0.351
Nd -8.178 -1.834 1.278



List of relative energies, unit meV/atom: arrangement i 81; arrangement ii 0



Arrangement i

3
Lattice="-0.810 -1.832 3.247 3.616 -1.194 0.228 0.545 8.231 2.539" Properties=species:S:1:pos:R:3 comment="BaNdTm PBE optimized geometry" dos_ef_per_ev_atom=1.69 pbc="T T T"
Ba 0.005 0.018 0.011
Tm 2.110 0.923 3.288
Nd 1.237 4.265 2.715



Arrangement ii

3
Lattice="3.792 0.000 0.000 -1.896 3.284 0.000 0.000 0.000 9.414" Properties=species:S:1:pos:R:3 comment="BaNdTm PBE optimized geometry" dos_ef_per_ev_atom=1.78 pbc="T T T"
Nd 0.000 2.189 6.043
Tm 1.896 1.095 3.315
Ba 0.000 0.000 0.056



List of relative energies, unit meV/atom: arrangement i 0; arrangement ii 13



Arrangement i

4
Lattice="3.778 0.000 0.000 0.000 3.778 0.000 0.000 0.000 10.935" Properties=species:S:1:pos:R:3 comment="BaNd2Y PBE optimized geometry" dos_ef_per_ev_atom=1.42 pbc="T T T"
Y 1.889 1.889 0.000
Ba 1.889 1.889 5.467
Nd 0.000 0.000 2.393
Nd 0.000 0.000 8.541



Arrangement ii

4
Lattice="-2.828 1.813 1.703 -3.443 -0.026 -1.526 -4.874 -9.808 6.515" Properties=species:S:1:pos:R:3 comment="BaNd2Y PBE optimized geometry" dos_ef_per_ev_atom=1.38 pbc="T T T"
Ba -5.569 -4.000 3.339
Nd -4.241 -7.443 5.047
Nd -2.724 -1.775 1.530
Y -4.182 1.186 0.121



Arrangement iii

4
Lattice="3.694 0.000 0.000 1.847 3.199 0.000 1.847 1.066 13.157" Properties=species:S:1:pos:R:3 comment="BaNd2Y PBE optimized geometry" dos_ef_per_ev_atom=1.40 pbc="T T T"
Y 3.694 2.133 6.579
Nd 5.540 3.199 3.695
Nd 1.847 1.066 9.462
Ba 0.000 0.000 0.000



List of relative energies, unit meV/atom: arrangement i 0; arrangement ii 10; arrangement iii 78



Arrangement i

4
Lattice="-1.511 0.224 3.756 -1.781 -3.240 1.665 6.978 -3.692 5.215" Properties=species:S:1:pos:R:3 comment="BaNdZn2 PBE optimized geometry" dos_ef_per_ev_atom=1.19 pbc="T T T"
Ba 1.843 -3.354 5.318
Nd 0.000 0.000 0.000
Zn 2.985 -5.104 8.071
Zn 0.701 -1.604 2.566



Arrangement ii

4
Lattice="3.869 0.000 0.000 0.000 3.869 0.000 0.000 0.000 7.831" Properties=species:S:1:pos:R:3 comment="BaNdZn2 PBE optimized geometry" dos_ef_per_ev_atom=0.90 pbc="T T T"
Ba 1.934 1.934 3.916
Zn 0.000 0.000 6.246
Zn 0.000 0.000 1.585
Nd 1.934 1.934 0.000



Arrangement iii

4
Lattice="5.493 0.000 0.000 2.746 4.757 0.000 2.746 1.586 4.485" Properties=species:S:1:pos:R:3 comment="BaNdZn2 PBE optimized geometry" dos_ef_per_ev_atom=0.61 pbc="T T T"
Zn 2.746 1.586 1.121
Zn 8.239 4.757 3.364
Nd 5.493 3.171 2.242
Ba 0.000 0.000 0.000



List of relative energies, unit meV/atom: arrangement i 231; arrangement ii 0; arrangement iii 88



Arrangement i

5
Lattice="6.344 0.000 0.000 0.000 6.344 0.000 0.000 0.000 6.344" Properties=species:S:1:pos:R:3 comment="Ba4Ni PBE optimized geometry" dos_ef_per_ev_atom=0.93 pbc="T T T"
Ba 3.172 3.172 0.000
Ba 3.172 0.000 3.172
Ba 0.000 3.172 3.172
Ba 0.000 0.000 0.000
Ni 3.172 3.172 3.172



Arrangement ii

5
Lattice="-5.419 5.419 2.011 5.419 -5.419 2.011 5.419 5.419 -2.011" Properties=species:S:1:pos:R:3 comment="Ba4Ni PBE optimized geometry" dos_ef_per_ev_atom=1.20 pbc="T T T"
Ba 2.612 0.632 2.011
Ba 2.807 4.787 0.000
Ba 6.051 2.807 0.000
Ba -0.632 2.612 2.011
Ni 0.000 0.000 0.000



List of relative energies, unit meV/atom: arrangement i 0; arrangement ii 69



Arrangement i

10
Lattice="-8.338 1.501 3.278 -4.012 -5.842 5.056 -1.117 4.060 7.885" Properties=species:S:1:pos:R:3 comment="Ba4Ni PBE optimized geometry" dos_ef_per_ev_atom=0.88 pbc="T T T"
Ba -5.561 0.170 4.337
Ba -7.530 -0.489 11.805
Ba -6.977 -2.277 7.737
Ba -1.283 -0.629 2.584
Ba -6.005 1.910 8.291
Ba -11.310 -1.538 9.376
Ba -1.945 1.220 6.760
Ba -11.863 0.262 13.438
Ni -8.218 1.480 3.231
Ni -4.530 -0.537 7.243



Arrangement ii

5
Lattice="1.300 1.444 6.443 -3.908 4.805 -2.632 -3.169 -5.925 -0.375" Properties=species:S:1:pos:R:3 comment="Ba4Ni PBE optimized geometry" dos_ef_per_ev_atom=1.39 pbc="T T T"
Ba -1.584 -2.963 -0.188
Ba 0.650 0.722 3.222
Ba -1.954 2.402 -1.316
Ba -2.889 0.162 1.718
Ni 0.000 0.000 0.000



Arrangement iii

5
Lattice="6.735 -6.578 7.138 9.758 -0.737 6.619 -9.934 4.762 -4.268" Properties=species:S:1:pos:R:3 comment="Ba4Ni PBE optimized geometry" dos_ef_per_ev_atom=1.58 pbc="T T T"
Ba 4.035 0.184 4.615
Ba 9.572 -4.245 7.985
Ba 2.524 -2.736 4.874
Ba 6.920 -3.069 5.773
Ni 0.000 0.000 0.000



List of relative energies, unit meV/atom: arrangement i 0; arrangement ii 215; arrangement iii 619



Arrangement i

9
Lattice="-4.698 4.698 3.013 4.698 -4.698 3.013 4.698 4.698 -3.013" Properties=species:S:1:pos:R:3 comment="Ba5Ni4 PBE optimized geometry" dos_ef_per_ev_atom=0.91 pbc="T T T"
Ba 2.890 2.890 0.000
Ba 1.807 -1.807 3.013
Ba -1.807 1.807 3.013
Ba 0.000 0.000 0.000
Ba 1.807 1.807 3.013
Ni 3.486 0.000 0.000
Ni 0.000 5.909 0.000
Ni 0.000 3.486 0.000
Ni 5.909 0.000 0.000



Arrangement ii

18
Lattice="-2.121 6.566 -6.032 -5.383 -7.370 0.832 -4.232 3.716 5.533" Properties=species:S:1:pos:R:3 comment="Ba5Ni4 PBE optimized geometry" dos_ef_per_ev_atom=0.75 pbc="T T T"
Ba -2.966 0.725 0.061
Ba -8.771 2.187 0.272
Ba -6.412 -0.867 1.311
Ba -4.296 -2.725 -1.456
Ba -3.208 1.921 -3.744
Ba -4.543 0.913 4.362
Ba -5.324 3.779 -0.977
Ba -3.713 4.456 2.617
Ba -5.073 -4.568 2.004
Ba -2.640 5.826 -3.115
Ni -4.440 6.706 0.550
Ni -1.913 3.576 -1.048
Ni -3.228 -2.042 1.719
Ni -2.116 1.858 2.767
Ni -6.200 2.463 2.054
Ni 0.000 0.000 0.000
Ni -6.387 -1.612 4.647
Ni -5.537 0.449 -1.720



List of relative energies, unit meV/atom: arrangement i 267; arrangement ii 0



Arrangement i

5
Lattice="5.010 -0.313 -0.725 -0.994 3.642 3.387 -1.738 -4.439 1.732" Properties=species:S:1:pos:R:3 comment="BaNi4 PBE optimized geometry" dos_ef_per_ev_atom=1.60 pbc="T T T"
Ni -0.497 1.821 1.693
Ni 1.139 -0.555 2.197
Ni 2.505 -0.156 -0.362
Ni -0.869 -2.220 0.866
Ba 0.000 0.000 0.000



Arrangement ii

5
Lattice="4.844 0.000 0.000 0.000 4.844 0.000 0.000 0.000 4.844" Properties=species:S:1:pos:R:3 comment="BaNi4 PBE optimized geometry" dos_ef_per_ev_atom=2.43 pbc="T T T"
Ni 2.422 0.000 2.422
Ni 0.000 0.000 0.000
Ni 2.422 2.422 0.000
Ni 0.000 2.422 2.422
Ba 2.422 2.422 2.422



List of relative energies, unit meV/atom: arrangement i 0; arrangement ii 447